Entry one
# K2IrF PBE optimized geometry
data_K2IrF
_chemical_formula_sum 'K8 Ir4 F4'
_space_group_name_H-M_alt 'F m -3 m'
_space_group_IT_number 225
_space_group_name_Hall '-F 4 2 3'
_cell_length_a 7.759
_cell_length_b 7.759
_cell_length_c 7.759
_cell_angle_alpha 90.00
_cell_angle_beta 90.00
_cell_angle_gamma 90.00
loop_
_atom_site_label
_atom_site_type_symbol
_atom_site_fract_x
_atom_site_fract_y
_atom_site_fract_z
K1 K 0.250 0.250 0.250
Ir1 Ir 0.000 0.000 0.000
F1 F 0.000 0.000 0.500
# Crystal system: cubic
# DOS(E_F) (states/eV/f.u.): 0.00

***

Entry two
# K2IrF PBE optimized geometry
data_K2IrF
_chemical_formula_sum 'K8 Ir4 F4'
_space_group_name_H-M_alt 'I -4 2 d'
_space_group_IT_number 122
_space_group_name_Hall 'I -4 2bw'
_cell_length_a 7.591
_cell_length_b 7.591
_cell_length_c 8.718
_cell_angle_alpha 90.00
_cell_angle_beta 90.00
_cell_angle_gamma 90.00
loop_
_atom_site_label
_atom_site_type_symbol
_atom_site_fract_x
_atom_site_fract_y
_atom_site_fract_z
K1 K 0.160 0.250 0.125
Ir1 Ir 0.000 0.000 0.500
F1 F 0.000 0.000 0.000
# Crystal system: tetragonal
# DOS(E_F) (states/eV/f.u.): 0.00

***

The relative energies come out as entry one 193; entry two 0, with values in meV/atom.

***

Entry one
# KIrNF2 PBE optimized geometry
data_KIrNF2
_chemical_formula_sum 'K1 Ir1 N1 F2'
_space_group_name_H-M_alt 'P 4/m m m'
_space_group_IT_number 123
_space_group_name_Hall '-P 4 2'
_cell_length_a 4.663
_cell_length_b 4.663
_cell_length_c 4.892
_cell_angle_alpha 90.00
_cell_angle_beta 90.00
_cell_angle_gamma 90.00
loop_
_atom_site_label
_atom_site_type_symbol
_atom_site_fract_x
_atom_site_fract_y
_atom_site_fract_z
K1 K 0.000 0.000 0.000
Ir1 Ir 0.500 0.500 0.500
N1 N 0.000 0.000 0.500
F1 F 0.000 0.500 0.000
# Crystal system: tetragonal
# DOS(E_F) (states/eV/f.u.): 2.66

***

Entry two
# KIrNF2 PBE optimized geometry
data_KIrNF2
_chemical_formula_sum 'K1 Ir1 N1 F2'
_space_group_name_H-M_alt 'P 4/m m m'
_space_group_IT_number 123
_space_group_name_Hall '-P 4 2'
_cell_length_a 4.537
_cell_length_b 4.537
_cell_length_c 3.704
_cell_angle_alpha 90.00
_cell_angle_beta 90.00
_cell_angle_gamma 90.00
loop_
_atom_site_label
_atom_site_type_symbol
_atom_site_fract_x
_atom_site_fract_y
_atom_site_fract_z
K1 K 0.000 0.000 0.000
Ir1 Ir 0.500 0.500 0.500
N1 N 0.500 0.500 0.000
F1 F 0.000 0.500 0.500
# Crystal system: tetragonal
# DOS(E_F) (states/eV/f.u.): 1.83

***

The relative energies come out as entry one 2155; entry two 0, with values in meV/atom.

***

Entry one
# KIrN2F PBE optimized geometry
data_KIrN2F
_chemical_formula_sum 'K1 Ir1 N2 F1'
_space_group_name_H-M_alt 'P 4/m m m'
_space_group_IT_number 123
_space_group_name_Hall '-P 4 2'
_cell_length_a 4.972
_cell_length_b 4.972
_cell_length_c 4.575
_cell_angle_alpha 90.00
_cell_angle_beta 90.00
_cell_angle_gamma 90.00
loop_
_atom_site_label
_atom_site_type_symbol
_atom_site_fract_x
_atom_site_fract_y
_atom_site_fract_z
K1 K 0.000 0.000 0.000
Ir1 Ir 0.500 0.500 0.500
N1 N 0.000 0.500 0.000
F1 F 0.000 0.000 0.500
# Crystal system: tetragonal
# DOS(E_F) (states/eV/f.u.): 1.91

***

Entry two
# KIrN2F PBE optimized geometry
data_KIrN2F
_chemical_formula_sum 'K1 Ir1 N2 F1'
_space_group_name_H-M_alt 'P 4/m m m'
_space_group_IT_number 123
_space_group_name_Hall '-P 4 2'
_cell_length_a 3.733
_cell_length_b 3.733
_cell_length_c 6.539
_cell_angle_alpha 90.00
_cell_angle_beta 90.00
_cell_angle_gamma 90.00
loop_
_atom_site_label
_atom_site_type_symbol
_atom_site_fract_x
_atom_site_fract_y
_atom_site_fract_z
K1 K 0.000 0.000 0.000
Ir1 Ir 0.500 0.500 0.500
N1 N 0.000 0.500 0.500
F1 F 0.500 0.500 0.000
# Crystal system: tetragonal
# DOS(E_F) (states/eV/f.u.): 3.47

***

The relative energies come out as entry one 2724; entry two 0, with values in meV/atom.